Entry 1:
DFT (PBE-GGA) results for a relaxed structure of NaTb2Pa.

Output
formation enthalpy at 0 K	4.75	kcal/mol of atoms

a = 3.4095 Å, b = 3.4095 Å, c = 37.1380 Å
α = 90.00°, β = 90.00°, γ = 120.00°
With the nearest neighbours (Å) after each atom.
Space group R-3m (No. 166, hexagonal axes)
Inequivalent atoms, fractional coordinates:
Na  0.0000  0.0000  0.0000 [3 per cell]  6 Na 3.41, 2 Tb 3.47
Tb  0.0000  0.0000  0.0936 [6 per cell]  3 Pa 3.35, 6 Tb 3.41, 1 Na 3.47
Pa  0.0000  0.0000  0.5000 [3 per cell]  6 Tb 3.35, 6 Pa 3.41

Entry 2:
DFT (PBE-GGA) results for a relaxed structure of Sm3Si4Rh7.

Output
formation energy without anion corrections	-0.97	eV/atom

a = 15.3475 Å, b = 4.0428 Å, c = 9.3233 Å
α = 90.00°, β = 125.27°, γ = 90.00°
With the nearest neighbours (Å) after each atom.
Space group C2/m (No. 12)
Inequivalent atoms, fractional coordinates:
Sm  0.0000  0.0000  0.0000 [2 per cell]  6 Si 2.90-3.12, 6 Rh 3.20-3.22
Sm  0.1702  0.5000  0.6661 [4 per cell]  9 Rh 2.94-3.09, 4 Si 3.00-3.05
Si  0.1138  0.0000  0.8373 [4 per cell]  6 Rh 2.47-2.58
Si  0.1656  0.5000  0.2828 [4 per cell]  5 Rh 2.41-2.49
Rh  0.0000  0.0000  0.5000 [2 per cell]  2 Si 2.57
Rh  0.0039  0.5000  0.2704 [4 per cell]  3 Si 2.42-2.50
Rh  0.1639  0.0000  0.4214 [4 per cell]  3 Si 2.41-2.47
Rh  0.1956  0.5000  0.0474 [4 per cell]  4 Si 2.47-2.58

Entry 3:
DFT (PBE-GGA) results for a relaxed structure of Th6SiTe3Ir2.

Output
formation energy without anion corrections	-1.05	eV/atom

a = 19.3819 Å, b = 4.1948 Å, c = 9.1174 Å
α = 90.00°, β = 106.27°, γ = 90.00°
With the nearest neighbours (Å) after each atom.
Space group C2/m (No. 12)
Inequivalent atoms, fractional coordinates:
Th  0.0120  0.0000  0.2348 [4 per cell]  1 Ir 2.90, 2 Si 2.96, 1 Te 3.25
Th  0.1614  0.5000  0.1141 [4 per cell]  2 Ir 2.88, 1 Si 3.01
Th  0.1774  0.5000  0.5537 [4 per cell]  3 Ir 2.87-2.89
Si  0.0000  0.5000  0.0000 [2 per cell]  6 Th 2.96-3.01
Te  0.0000  0.5000  0.5000 [2 per cell]  6 Th 3.26-3.33
Te  0.1617  0.0000  0.8340 [4 per cell]  6 Th 3.25-3.39
Ir  0.1678  0.0000  0.3335 [4 per cell]  6 Th 2.87-2.90

Entry 4:
DFT (PBE-GGA) results for a relaxed structure of BaPrMnS4.

Output
formation energy without anion corrections	-1.47	eV/atom

a = 6.5553 Å, b = 15.2247 Å, c = 6.6109 Å
α = 90.00°, β = 90.00°, γ = 90.00°
With the nearest neighbours (Å) after each atom.
Space group Cmcm (No. 63)
Inequivalent atoms, fractional coordinates:
Ba  0.0000  0.1061  0.2500 [4 per cell]  9 S 3.01-3.33
Pr  0.0000  0.3816  0.2500 [4 per cell]  5 S 2.85-3.07
Mn  0.0000  0.2456  0.7500 [4 per cell]  5 S 2.33-2.35
S  0.0000  0.0913  0.7500 [4 per cell]  1 Mn 2.35
S  0.0000  0.4309  0.7500 [4 per cell]  1 Mn 2.82, 1 Pr 2.85
S  0.2500  0.2500  0.0000 [8 per cell]  2 Mn 2.33

Entry 5:
DFT (PBE-GGA) results for a relaxed structure of Pm2AgAu.

Output
formation enthalpy at 0 K	-8.58	kcal/mol of atoms

a = 4.1486 Å, b = 4.1486 Å, c = 23.1833 Å
α = 90.00°, β = 90.00°, γ = 120.00°
With the nearest neighbours (Å) after each atom.
Space group R3m (No. 160, hexagonal axes)
Inequivalent atoms, fractional coordinates:
Pm  0.0000  0.0000  0.0000 [3 per cell]  3 Au 3.00, 3 Ag 3.13
Pm  0.0000  0.0000  0.1756 [3 per cell]  3 Au 3.02, 3 Ag 3.15
Ag  0.0000  0.0000  0.7537 [3 per cell]  6 Pm 3.13-3.15
Au  0.0000  0.0000  0.5885 [3 per cell]  6 Pm 3.00-3.02

Entry 6:
DFT (PBE-GGA) results for a relaxed structure of DyYPtPb.

Output
formation enthalpy at 0 K	-17.23	kcal/mol of atoms

a = 7.3429 Å, b = 7.3429 Å, c = 7.3429 Å
α = 90.00°, β = 90.00°, γ = 90.00°
With the nearest neighbours (Å) after each atom.
Space group F-43m (No. 216)
Inequivalent atoms, fractional coordinates:
Dy  0.0000  0.0000  0.0000 [4 per cell]  4 Pt 3.18, 4 Pb 3.18
Y  0.0000  0.0000  0.5000 [4 per cell]  4 Pb 3.18, 4 Pt 3.18
Pt  0.2500  0.2500  0.7500 [4 per cell]  4 Dy 3.18, 4 Y 3.18
Pb  0.2500  0.2500  0.2500 [4 per cell]  4 Dy 3.18, 4 Y 3.18

Entry 7:
DFT (PBE-GGA) results for a relaxed structure of TlGaHgBi.

Output
formation enthalpy at 0 K	0.06	kcal/mol of atoms

a = 4.9469 Å, b = 4.9469 Å, c = 9.2881 Å
α = 90.00°, β = 90.00°, γ = 90.00°
With the nearest neighbours (Å) after each atom.
Space group P4/nmm (No. 129, origin choice 2)
Inequivalent atoms, fractional coordinates:
Tl  0.2500  0.2500  0.2435 [2 per cell]  4 Hg 3.35, 4 Ga 3.43, 4 Bi 3.55
Ga  0.2500  0.7500  0.5000 [2 per cell]  4 Bi 3.04
Hg  0.2500  0.7500  0.0000 [2 per cell]  4 Tl 3.35, 4 Hg 3.50
Bi  0.2500  0.2500  0.6897 [2 per cell]  4 Ga 3.04

Entry 8:
DFT (PBE-GGA) results for a relaxed structure of NbCuTc.

Output
formation enthalpy at 0 K	1.24	kcal/mol of atoms

a = 9.4132 Å, b = 3.2289 Å, c = 6.4039 Å
α = 90.00°, β = 110.78°, γ = 90.00°
With the nearest neighbours (Å) after each atom.
Space group C2/m (No. 12)
Inequivalent atoms, fractional coordinates:
Nb  0.0000  0.0000  0.0000 [2 per cell]  6 Tc 2.69-2.98, 4 Cu 2.77
Nb  0.0000  0.0000  0.5000 [2 per cell]  4 Tc 2.67, 6 Cu 2.73-2.85
Cu  0.1758  0.5000  0.3470 [4 per cell]  2 Cu 2.54, 4 Nb 2.73-2.77, 2 Tc 2.74
Tc  0.1619  0.5000  0.8320 [4 per cell]  5 Nb 2.67-2.98, 2 Tc 2.73, 3 Cu 2.74-2.97

Entry 9:
DFT (PBE-GGA) results for a relaxed structure of Ce2TeSe.

Output
formation energy without anion corrections	-1.57	eV/atom

a = 8.7330 Å, b = 17.2923 Å, c = 7.4965 Å
α = 90.00°, β = 125.06°, γ = 90.00°
With the nearest neighbours (Å) after each atom.
Space group C2/c (No. 15)
Inequivalent atoms, fractional coordinates:
Ce  0.2183  0.0624  0.2335 [8 per cell]  3 Se 2.97-2.99, 3 Te 3.16-3.18
Ce  0.2414  0.1873  0.7331 [8 per cell]  3 Se 2.97-3.02, 3 Te 3.14-3.17
Te  0.0000  0.3176  0.7500 [4 per cell]  6 Ce 3.14-3.17
Te  0.0000  0.4426  0.2500 [4 per cell]  6 Ce 3.14-3.18
Se  0.0000  0.0671  0.7500 [4 per cell]  6 Ce 2.97-3.01
Se  0.0000  0.1922  0.2500 [4 per cell]  6 Ce 2.97-3.02

Entry 10:
DFT (PBE-GGA) results for a relaxed structure of CaLa2Hg.

Output
formation enthalpy at 0 K	-3.29	kcal/mol of atoms

a = 4.9795 Å, b = 4.9795 Å, c = 10.1985 Å
α = 90.00°, β = 90.00°, γ = 90.00°
With the nearest neighbours (Å) after each atom.
Space group I4/mmm (No. 139)
Inequivalent atoms, fractional coordinates:
Ca  0.0000  0.0000  0.0000 [2 per cell]  4 Hg 3.52, 8 La 3.56
La  0.0000  0.5000  0.2500 [4 per cell]  4 La 3.52, 4 Hg 3.56, 4 Ca 3.56
Hg  0.0000  0.0000  0.5000 [2 per cell]  4 Ca 3.52, 8 La 3.56

Entry 11:
DFT (PBE-GGA) results for a relaxed structure of Tl2NiCl.

Output
formation energy without anion corrections	0.01	eV/atom

a = 3.5502 Å, b = 6.0963 Å, c = 9.1570 Å
α = 90.00°, β = 90.00°, γ = 90.00°
With the nearest neighbours (Å) after each atom.
Space group Cmm2 (No. 35)
Inequivalent atoms, fractional coordinates:
Tl  0.0000  0.0000  0.0000 [2 per cell]  2 Ni 2.68
Tl  0.0000  0.5000  0.3135 [2 per cell]  8 Tl 3.38-3.55, 2 Cl 3.42
Ni  0.0000  0.5000  0.7804 [2 per cell]  2 Cl 2.23
Cl  0.0000  0.0000  0.6325 [2 per cell]  2 Ni 2.23

Entry 12:
DFT (PBE-GGA) results for a relaxed structure of CaInP2Rh5.

Output
formation enthalpy at 0 K	-12.65	kcal/mol of atoms

a = 4.0848 Å, b = 4.0848 Å, c = 10.0497 Å
α = 90.00°, β = 90.00°, γ = 90.00°
With the nearest neighbours (Å) after each atom.
Space group P4/mmm (No. 123)
Inequivalent atoms, fractional coordinates:
Ca  0.0000  0.0000  0.0000 [1 per cell]  4 Rh 2.89
In  0.0000  0.0000  0.5000 [1 per cell]  8 Rh 2.72
P  0.5000  0.5000  0.2227 [2 per cell]  5 Rh 2.24-2.27
Rh  0.0000  0.5000  0.3213 [4 per cell]  2 P 2.27
Rh  0.5000  0.5000  0.0000 [1 per cell]  2 P 2.24

Ordered final energy results: -4.813 -7.208 -7.479 -6.093 -4.280 -5.951 -2.391 -8.124 -6.197 -3.182 -3.081 -6.361; unit eV per atom.
Ordered V results: 31.16 16.87 29.65 23.56 28.80 24.74 28.41 15.16 28.96 31.61 24.77 18.63; unit Å³ per atom.